(1)
# SmMgNi4Sn2 (PBE-GGA, relaxed)
data_SmMgNi4Sn2
_cell_length_a 4.3351
_cell_length_b 4.3351
_cell_length_c 24.8541
_cell_angle_alpha 90.00
_cell_angle_beta 90.00
_cell_angle_gamma 120.00
_space_group_name_H-M_alt 'R -3 m'
_space_group_IT_number 166
_space_group_name_Hall '-R 3 2"'
loop_
_atom_site_label
_atom_site_type_symbol
_atom_site_fract_x
_atom_site_fract_y
_atom_site_fract_z
Sm1 Sm 0.0000 0.0000 0.0000
Mg1 Mg 0.0000 0.0000 0.5000
Ni1 Ni 0.0000 0.0000 0.1303
Ni2 Ni 0.0000 0.0000 0.3997
Sn1 Sn 0.0000 0.0000 0.2418
# Energy of formation from the pure elements   -2.769 eV/f.u.
# V   16.9 A^3/atom

---

(2)
# PmYErHg (PBE-GGA, relaxed)
data_PmYErHg
_cell_length_a 3.623
_cell_length_b 3.623
_cell_length_c 8.925
_cell_angle_alpha 90.00
_cell_angle_beta 90.00
_cell_angle_gamma 90.00
_space_group_name_H-M_alt 'P 4 m m'
_space_group_IT_number 99
_space_group_name_Hall 'P 4 -2'
loop_
_atom_site_label
_atom_site_type_symbol
_atom_site_fract_x
_atom_site_fract_y
_atom_site_fract_z
Pm1 Pm 0.000 0.000 0.000
Y1 Y 0.500 0.500 0.714
Er1 Er 0.500 0.500 0.280
Hg1 Hg 0.000 0.000 0.492
# Distance to the lowest polymorph of the same formula   0 meV/atom
# Energy of formation from the pure elements   -0.966 eV/f.u.
# V   29.3 A^3/atom

---

(3)
# Tb2Ga4Pd3 (PBE-GGA, relaxed)
data_Tb2Ga4Pd3
_cell_length_a 5.777
_cell_length_b 15.169
_cell_length_c 7.591
_cell_angle_alpha 90.00
_cell_angle_beta 90.00
_cell_angle_gamma 90.00
_space_group_name_H-M_alt 'C m c e'
_space_group_IT_number 64
_space_group_name_Hall '-C 2ac 2'
loop_
_atom_site_label
_atom_site_type_symbol
_atom_site_fract_x
_atom_site_fract_y
_atom_site_fract_z
Tb1 Tb 0.000 0.111 0.090
Ga1 Ga 0.000 0.178 0.479
Ga2 Ga 0.250 0.059 0.750
Pd1 Pd 0.000 0.000 0.500
Pd2 Pd 0.250 0.230 0.750
# Energy of formation from the pure elements   -6.958 eV/f.u.
# V   18.5 A^3/atom

---

(4)
# Th2Be4Si3Pt (PBE-GGA, relaxed)
data_Th2Be4Si3Pt
_cell_length_a 4.008
_cell_length_b 4.008
_cell_length_c 9.671
_cell_angle_alpha 90.00
_cell_angle_beta 90.00
_cell_angle_gamma 90.00
_space_group_name_H-M_alt 'P -4 m 2'
_space_group_IT_number 115
_space_group_name_Hall 'P -4 -2'
loop_
_atom_site_label
_atom_site_type_symbol
_atom_site_fract_x
_atom_site_fract_y
_atom_site_fract_z
Th1 Th 0.000 0.500 0.247
Be1 Be 0.000 0.000 0.000
Be2 Be 0.000 0.500 0.629
Be3 Be 0.500 0.500 0.000
Si1 Si 0.000 0.500 0.872
Si2 Si 0.500 0.500 0.500
Pt1 Pt 0.000 0.000 0.500
# Energy relative to the elements, uncorrected   -0.561 eV/atom
# V   15.5 A^3/atom